No. 1
Ta5Os | the Alexandria database | SCAN | single point on PBEsol structure; formation enthalpy at 0 K = 847 meV/atom; volume = 111.1 Å³ per cell; space group = P6/mmm, No. 191; E above lowest polymorph = 1116 meV per atom
1.0
5.219 0.000 0.000
-2.610 4.520 0.000
0.000 0.000 4.711
Ta Os
5 1
direct
0.000 0.500 0.000
0.333 0.667 0.500
0.500 0.000 0.000
0.500 0.500 0.000
0.667 0.333 0.500
0.000 0.000 0.500

***

No. 2
HfBSF2 | the Alexandria database | SCAN | single point on PBEsol structure; volume = 75.5 Å³ per cell; space group = P4/mmm, No. 123
1.0
3.927 0.000 0.000
0.000 3.927 0.000
0.000 0.000 4.897
Hf B S F
1 1 1 2
direct
0.000 0.000 0.000
0.000 0.000 0.500
0.500 0.500 0.500
0.000 0.500 0.000
0.500 0.000 0.000

***

No. 3
Mg2TeOs | the Alexandria database | SCAN | single point on PBEsol structure; volume = 164.7 Å³ per cell; space group = Cmm2, No. 35
1.0
3.121 0.000 0.000
0.000 5.217 0.000
0.000 0.000 10.115
Mg Te Os
4 2 2
direct
0.000 0.000 0.000
0.000 0.500 0.268
0.500 0.000 0.268
0.500 0.500 0.000
0.000 0.500 0.693
0.500 0.000 0.693
0.000 0.000 0.483
0.500 0.500 0.483

***

No. 4
CuBF2 | the Alexandria database | SCAN | single point on PBEsol structure; volume = 119.7 Å³ per cell; space group = R-3m, No. 166
1.0
2.563 0.000 0.000
-1.282 2.220 0.000
0.000 0.000 21.041
Cu B F
3 3 6
direct
0.000 0.000 0.000
0.333 0.667 0.667
0.667 0.333 0.333
0.000 0.000 0.500
0.333 0.667 0.167
0.667 0.333 0.833
0.000 0.000 0.086
0.000 0.000 0.914
0.333 0.667 0.581
0.333 0.667 0.753
0.667 0.333 0.247
0.667 0.333 0.419

***

No. 5
K2ZrFe | the Alexandria database | SCAN | single point on PBEsol structure; formation enthalpy at 0 K = 897 meV/atom; volume = 253.7 Å³ per cell; space group = Imm2, No. 44
1.0
3.282 0.000 0.000
0.000 6.339 0.000
0.000 0.000 12.194
K Zr Fe
4 2 2
direct
0.000 0.000 0.000
0.000 0.500 0.187
0.500 0.000 0.687
0.500 0.500 0.500
0.000 0.500 0.820
0.500 0.000 0.320
0.000 0.000 0.447
0.500 0.500 0.947

***

No. 6
LaTa3Bi | the Alexandria database | SCAN | single point on PBEsol structure; formation enthalpy at 0 K = 1767 meV/atom; volume = 138.5 Å³ per cell; space group = Pm-3m, No. 221
1.0
5.174 0.000 0.000
0.000 5.174 0.000
0.000 0.000 5.174
La Ta Bi
1 3 1
direct
0.000 0.000 0.000
0.000 0.500 0.500
0.500 0.000 0.500
0.500 0.500 0.000
0.500 0.500 0.500

***

Number 1: total magnetization 0.0 μB per formula unit, DFT total energy -399.7 eV per cell, D(E_F) 5.5 states/eV/f.u.. Number 2: total magnetization 0.0 μB per formula unit, DFT total energy -93.7 eV per cell, D(E_F) 1.0 states/eV/f.u.. Number 3: total magnetization 0.0 μB per formula unit, DFT total energy -234.2 eV per cell, D(E_F) 2.6 states/eV/f.u.. Number 4: total magnetization 0.0 μB per formula unit, DFT total energy -90.0 eV per cell, D(E_F) 0.9 states/eV/f.u.. Number 5: total magnetization 0.7 μB per formula unit, DFT total energy -123.8 eV per cell, D(E_F) 2.3 states/eV/f.u.. Number 6: total magnetization 0.0 μB per formula unit, DFT total energy -312.6 eV per cell, D(E_F) 10.3 states/eV/f.u..